Entry from the Alexandria database: SrBeAs2Se after structural relaxation (PBE).

POSCAR file:
```
SrBeAs2Se
1.0
5.731 0.000 0.000
0.000 5.731 0.000
0.000 0.000 5.629
Sr Be Se As
1 1 1 2
direct
0.000 0.000 0.000
0.500 0.500 0.500
0.000 0.000 0.500
0.000 0.500 0.000
0.500 0.000 0.000
```

Calculated values
Polymorph energy (0 for the lowest one) in meV/atom: 1577
E_form (uncorrected) in meV per atom: 1249
Total DFT energy (no corrections) in eV per formula unit: -11.9
SG: No. 123
Total moment in μB/f.u.: 0.8